## CsVF3 (PBE with a Hubbard U)

Data for a relaxed CsVF3 crystal.

The value obtained for the size of the total moment is 0.598 μB/atom. The total DFT energy (no corrections) comes out at -4.55 eV per atom. For the density of states at the Fermi level, the calculation gives 0.479 states/eV/f.u.

The structure belongs to space group I-4m2 (No. 119); the cell edges are 4.263, 4.263 and 22.102 Å and the angles 90.00°, 90.00° and 90.00°. The asymmetric unit holds Cs at (0.000, 0.000, 0.000), Cs at (0.000, 0.500, 0.250), V at (0.000, 0.500, 0.634), F at (0.000, 0.000, 0.339) and F at (0.000, 0.245, 0.120).